Entry 1:
Below is an optimized crystal structure of Ac2Pt2O7, with properties calculated at the PBE level.

Calculated values
Its formation energy (no corrections) is -1.8399 eV per atom. The calculation puts the total energy at -601.96 eV per cell.

a = 10.836 Å, b = 10.836 Å, c = 10.836 Å
α = 90.00°, β = 90.00°, γ = 90.00°
Space group Fd-3m (No. 227, origin choice 2)
One atom of each set of equivalent atoms:
Ac 0.000 0.000 0.000 x16
Pt 0.000 0.000 0.500 x16
O 0.079 0.375 0.875 x48
O 0.125 0.125 0.125 x8


Entry 2:
Below is an optimized crystal structure of TaTe2Pt, with properties calculated at the PBE level.

Calculated values
The calculation puts the density of states at the Fermi level at 0.597 states/eV per atom. Its formation energy (no corrections) is -0.1313 eV per atom. The calculation puts the total energy at -49.40 eV per cell.

a = 3.765 Å, b = 3.868 Å, c = 14.651 Å
α = 90.00°, β = 90.00°, γ = 90.00°
Space group Imm2 (No. 44)
One atom of each set of equivalent atoms:
Ta 0.000 0.000 0.000 x2
Te 0.000 0.000 0.409 x2
Te 0.000 0.500 0.654 x2
Pt 0.000 0.500 0.123 x2


Entry 3:
Below is an optimized crystal structure of RbNbIO2, with properties calculated at the PBE level.

Calculated values
The calculation puts the density of states at the Fermi level at 0.387 states/eV per atom. Its formation energy (no corrections) is -1.2940 eV per atom. The calculation puts the total energy at -28.97 eV per cell.

a = 4.279 Å, b = 4.279 Å, c = 5.838 Å
α = 90.00°, β = 90.00°, γ = 90.00°
Space group P4/mmm (No. 123)
One atom of each set of equivalent atoms:
Rb 0.000 0.000 0.000 x1
Nb 0.500 0.500 0.500 x1
I 0.500 0.500 0.000 x1
O 0.000 0.500 0.500 x2


Entry 4:
Below is an optimized crystal structure of CsKCaCl4, with properties calculated at the PBE level.

Calculated values
The calculation puts the density of states at the Fermi level at 0.000 states/eV per atom. Its formation energy (no corrections) is -2.1551 eV per atom. The calculation puts the total energy at -52.85 eV per cell.

a = 5.407 Å, b = 5.407 Å, c = 16.792 Å
α = 90.00°, β = 90.00°, γ = 90.00°
Space group I4mm (No. 107)
One atom of each set of equivalent atoms:
Cs 0.000 0.000 0.000 x2
K 0.000 0.000 0.714 x2
Ca 0.000 0.000 0.357 x2
Cl 0.000 0.000 0.197 x2
Cl 0.000 0.000 0.522 x2
Cl 0.000 0.500 0.351 x4


Entry 5:
Below is an optimized crystal structure of Y2CdCl, with properties calculated at the PBE level.

Calculated values
The calculation puts the density of states at the Fermi level at 0.852 states/eV per atom. Its formation energy (no corrections) is -0.6050 eV per atom. The calculation puts the total energy at -36.22 eV per cell.

a = 3.759 Å, b = 5.824 Å, c = 9.588 Å
α = 90.00°, β = 90.00°, γ = 90.00°
Space group Cmmm (No. 65)
One atom of each set of equivalent atoms:
Y 0.000 0.000 0.238 x4
Cd 0.000 0.500 0.500 x2
Cl 0.000 0.500 0.000 x2


Entry 6:
Below is an optimized crystal structure of Cs2TmSb2S6, with properties calculated at the PBE level.

Calculated values
The calculation puts the density of states at the Fermi level at 0.376 states/eV per atom. Its formation energy (no corrections) is -0.8609 eV per atom. The calculation puts the total energy at -97.32 eV per cell.

a = 12.502 Å, b = 7.422 Å, c = 8.785 Å
α = 90.00°, β = 116.44°, γ = 90.00°
Space group C2/m (No. 12)
One atom of each set of equivalent atoms:
Cs 0.202 0.000 0.172 x4
Tm 0.000 0.000 0.500 x2
Sb 0.061 0.500 0.208 x4
S 0.042 0.239 0.759 x8
S 0.233 0.000 0.582 x4


Among the records above, which one has the lowest formation energy (no corrections)? CsKCaCl4